Entry 1:
The following is a PBE-GGA calculation of a relaxed structure of Al2OsW, from the Alexandria database.

Unit cell a=2.898 b=3.714 c=5.508 alpha=90.00 beta=90.00 gamma=90.00
Space group Pmmm (No. 47)
Asymmetric unit:
Al (0.000, 0.000, 0.237)
Os (0.500, 0.500, 0.000)
W (0.500, 0.500, 0.500)

As for the total magnetization: 0.0 Bohr magnetons per cell. The formation energy is 0.01 eV/atom. Its calculated volume is 14.82 Å³/atom. As for the crystal system: orthorhombic. Its energy relative to the lowest polymorph listed for this composition is 271 meV per atom. The calculation puts the density of states at the Fermi level at 2.79 states/eV/f.u.



Entry 2:
The following is a PBE-GGA calculation of a relaxed structure of Ti3BeMo, from the Alexandria database.

Unit cell a=4.702 b=4.702 c=4.702 alpha=90.00 beta=90.00 gamma=90.00
Space group Pm-3m (No. 221)
Asymmetric unit:
Ti (0.000, 0.000, 0.500)
Be (0.500, 0.500, 0.500)
Mo (0.000, 0.000, 0.000)

As for the total magnetization: 0.4 Bohr magnetons per cell. The formation energy is 1.11 eV/atom. Its calculated volume is 20.80 Å³/atom. As for the crystal system: cubic. Its energy relative to the lowest polymorph listed for this composition is 518 meV per atom. The calculation puts the density of states at the Fermi level at 8.94 states/eV/f.u.



Entry 3:
The following is a PBE-GGA calculation of a relaxed structure of Pr3InAg, from the Alexandria database.

Unit cell a=17.558 b=7.069 c=11.311 alpha=90.00 beta=117.76 gamma=90.00
Space group C2/c (No. 15)
Asymmetric unit:
Pr (0.059, 0.206, 0.452)
Pr (0.121, 0.498, 0.761)
Pr (0.192, 0.030, 0.785)
In (0.123, 0.256, 0.013)
Ag (0.000, 0.144, 0.750)
Ag (0.250, 0.250, 0.500)

As for the total magnetization: 0.0 Bohr magnetons per cell. The formation energy is -0.17 eV/atom. Its calculated volume is 31.06 Å³/atom. As for the crystal system: monoclinic. Its energy relative to the lowest polymorph listed for this composition is 95 meV per atom. The calculation puts the density of states at the Fermi level at 5.07 states/eV/f.u.



Entry 4:
The following is a PBE-GGA calculation of a relaxed structure of LiAs2Au, from the Alexandria database.

Unit cell a=2.952 b=4.234 c=5.895 alpha=90.00 beta=90.00 gamma=90.00
Space group Pmmm (No. 47)
Asymmetric unit:
Li (0.000, 0.000, 0.000)
As (0.500, 0.500, 0.223)
Au (0.500, 0.000, 0.500)

As for the total magnetization: 0.0 Bohr magnetons per cell. The formation energy is -0.22 eV/atom. Its calculated volume is 18.42 Å³/atom. As for the crystal system: orthorhombic. Its energy relative to the lowest polymorph listed for this composition is 21 meV per atom. The calculation puts the density of states at the Fermi level at 0.96 states/eV/f.u.



Entry 5:
The following is a PBE-GGA calculation of a relaxed structure of DySc6S8, from the Alexandria database.

Unit cell a=10.465 b=10.465 c=10.465 alpha=90.00 beta=90.00 gamma=90.00
Space group Fm-3m (No. 225)
Asymmetric unit:
Dy (0.000, 0.000, 0.000)
Sc (0.000, 0.250, 0.250)
S (0.000, 0.000, 0.259)
S (0.250, 0.250, 0.250)

As for the total magnetization: 0.0 Bohr magnetons per cell. The calculation puts the raw formation energy at -1.9266 eV per atom. Its calculated volume is 19.10 Å³/atom. As for the crystal system: cubic. Its energy relative to the lowest polymorph listed for this composition is 0 meV per atom. The calculation puts the density of states at the Fermi level at 6.81 states/eV/f.u.



Entry 6:
The following is a PBE-GGA calculation of a relaxed structure of K2Cd5Sn4, from the Alexandria database.

Unit cell a=6.971 b=10.607 c=18.630 alpha=90.00 beta=90.00 gamma=90.00
Space group Fmmm (No. 69)
Asymmetric unit:
K (0.000, 0.000, 0.133)
Cd (0.000, 0.000, 0.500)
Cd (0.250, 0.250, 0.000)
Cd (0.250, 0.250, 0.250)
Sn (0.000, 0.145, 0.365)

As for the total magnetization: 0.0 Bohr magnetons per cell. The formation energy is -0.02 eV/atom. Its calculated volume is 31.31 Å³/atom. As for the crystal system: orthorhombic. The calculation puts the density of states at the Fermi level at 6.18 states/eV/f.u.



Entry 7:
The following is a PBE-GGA calculation of a relaxed structure of CaTaSn2, from the Alexandria database.

Unit cell a=5.116 b=5.116 c=18.950 alpha=90.00 beta=90.00 gamma=90.00
Space group I-42d (No. 122)
Asymmetric unit:
Ca (0.000, 0.000, 0.000)
Ta (0.000, 0.000, 0.500)
Sn (0.143, 0.250, 0.625)

As for the total magnetization: 2.1 Bohr magnetons per cell. The formation energy is 0.48 eV/atom. Its calculated volume is 31.00 Å³/atom. As for the crystal system: tetragonal. The calculation puts the density of states at the Fermi level at 3.85 states/eV/f.u.



Entry 8:
The following is a PBE-GGA calculation of a relaxed structure of Mn2Al2As, from the Alexandria database.

Unit cell a=5.991 b=5.991 c=3.862 alpha=90.00 beta=90.00 gamma=90.00
Space group P4/mbm (No. 127)
Asymmetric unit:
Mn (0.144, 0.356, 0.000)
Al (0.157, 0.657, 0.500)
As (0.000, 0.000, 0.000)

As for the total magnetization: 0.0 Bohr magnetons per cell. The formation energy is -0.09 eV/atom. Its calculated volume is 13.86 Å³/atom. As for the crystal system: tetragonal. The calculation puts the density of states at the Fermi level at 2.96 states/eV/f.u.



Question: Among the records above, which one has the highest calculated volume?
Answer: K2Cd5Sn4



Question: calculated volume of number 3 (Pr3InAg)?
Answer: 31.06 Å³/atom



Question: Number 5 is which compound?
Answer: DySc6S8



Question: The lowest calculated volume belongs to which entry?
Answer: Mn2Al2As